(1)
Here is a relaxed structure of Ca2VIrO6 from the Alexandria database. Energies are from PBE with a Hubbard U.

Computed properties:
- energy above the lowest structure with this stoichiometry (eV/f.u.) = 1.27
- SG = P4mm (99)
- ρ (g/cm³) = 5.8

Unit cell a=5.473 b=5.473 c=4.005 alpha=90.00 beta=90.00 gamma=90.00
Fractional coordinates of all 10 atoms:
Ca  0.000  0.500  0.000
Ca  0.500  0.000  0.000
V  0.000  0.000  0.547
Ir  0.500  0.500  0.581
O  0.000  0.000  0.091
O  0.242  0.242  0.600
O  0.242  0.758  0.600
O  0.500  0.500  0.082
O  0.758  0.242  0.600
O  0.758  0.758  0.600

***

(2)
Here is a relaxed structure of CaVIrO6 from the Alexandria database. Energies are from PBE with a Hubbard U.

Computed properties:
- SG = P-31c (163)
- uncorrected energy (eV per atom) = -7.02
- ρ (g/cm³) = 5.4

Unit cell a=5.162 b=5.162 c=10.034 alpha=90.00 beta=90.00 gamma=120.00
Fractional coordinates of all 18 atoms:
Ca  0.000  0.000  0.000
Ca  0.000  0.000  0.500
V  0.333  0.667  0.250
V  0.667  0.333  0.750
Ir  0.333  0.667  0.750
Ir  0.667  0.333  0.250
O  0.009  0.373  0.146
O  0.009  0.637  0.354
O  0.363  0.373  0.354
O  0.363  0.991  0.146
O  0.373  0.009  0.646
O  0.373  0.363  0.854
O  0.627  0.637  0.146
O  0.627  0.991  0.354
O  0.637  0.009  0.854
O  0.637  0.627  0.646
O  0.991  0.363  0.646
O  0.991  0.627  0.854

***

(3)
Here is a relaxed structure of Ca2IrWO6 from the Alexandria database. Energies are from PBE with a Hubbard U.

Computed properties:
- SG = P2_1/c (14)
- uncorrected energy (eV per atom) = -7.08
- ρ (g/cm³) = 7.5

Unit cell a=5.457 b=5.667 c=9.527 alpha=90.00 beta=124.32 gamma=90.00
Fractional coordinates of all 20 atoms:
Ca  0.233  0.051  0.246
Ca  0.233  0.449  0.746
Ca  0.767  0.551  0.254
Ca  0.767  0.949  0.754
Ir  0.000  0.000  0.500
Ir  0.000  0.500  0.000
W  0.500  0.000  0.000
W  0.500  0.500  0.500
O  0.167  0.199  0.957
O  0.167  0.301  0.457
O  0.239  0.711  0.937
O  0.239  0.789  0.437
O  0.356  0.047  0.753
O  0.356  0.453  0.253
O  0.644  0.547  0.747
O  0.644  0.953  0.247
O  0.761  0.211  0.563
O  0.761  0.289  0.063
O  0.833  0.699  0.543
O  0.833  0.801  0.043

***

Repeat the first record exactly.
Here is a relaxed structure of Ca2VIrO6 from the Alexandria database. Energies are from PBE with a Hubbard U.

Computed properties:
- energy above the lowest structure with this stoichiometry (eV/f.u.) = 1.27
- SG = P4mm (99)
- ρ (g/cm³) = 5.8

Unit cell a=5.473 b=5.473 c=4.005 alpha=90.00 beta=90.00 gamma=90.00
Fractional coordinates of all 10 atoms:
Ca  0.000  0.500  0.000
Ca  0.500  0.000  0.000
V  0.000  0.000  0.547
Ir  0.500  0.500  0.581
O  0.000  0.000  0.091
O  0.242  0.242  0.600
O  0.242  0.758  0.600
O  0.500  0.500  0.082
O  0.758  0.242  0.600
O  0.758  0.758  0.600